Compound: MgAgMo2
Source: Alexandria
Functional: PBE
Structure: optimized geometry

Lattice parameters (Å, degrees): 2.6880 2.6880 9.3749 90.00 90.00 98.89
Atoms (fractional coordinates):
Mg: 0.0000 0.0000 0.0000
Ag: 0.0000 0.0000 0.5000
Mo: 0.5000 0.5000 0.2496
Mo: 0.5000 0.5000 0.7504

Output
Energy relative to the elements, kJ/mol of formula units: 162
Space group: Cmmm, No. 65
Magnetic moment, Bohr magnetons per cell: 0.0

***

Compound: Mg2SbPd3
Source: Alexandria
Functional: PBE
Structure: optimized geometry

Lattice parameters (Å, degrees): 4.5895 4.5895 11.2241 90.00 90.00 120.00
Atoms (fractional coordinates):
Mg: 0.0000 0.0000 0.0000
Mg: 0.0000 0.0000 0.5000
Mg: 0.3333 0.6667 0.1617
Mg: 0.6667 0.3333 0.8383
Sb: 0.3333 0.6667 0.6718
Sb: 0.6667 0.3333 0.3282
Pd: 0.0000 0.0000 0.2486
Pd: 0.0000 0.0000 0.7514
Pd: 0.3333 0.6667 0.4187
Pd: 0.3333 0.6667 0.9202
Pd: 0.6667 0.3333 0.0798
Pd: 0.6667 0.3333 0.5813

Output
Space group: P-3m1, No. 164
Excess energy over the best structure of this formula in the dataset, meV/atom: 10
Magnetic moment, Bohr magnetons per cell: 0.0

***

Compound: La3AgIr
Source: Alexandria
Functional: PBE
Structure: optimized geometry

Lattice parameters (Å, degrees): 8.4746 4.7505 14.8402 90.00 90.00 90.00
Atoms (fractional coordinates):
La: 0.0054 0.2500 0.1087
La: 0.1460 0.2500 0.5192
La: 0.1670 0.7500 0.2887
La: 0.3330 0.2500 0.7887
La: 0.3540 0.7500 0.0192
La: 0.4946 0.7500 0.6087
La: 0.5054 0.2500 0.3913
La: 0.6460 0.2500 0.9808
La: 0.6670 0.7500 0.2113
La: 0.8330 0.2500 0.7113
La: 0.8540 0.7500 0.4808
La: 0.9946 0.7500 0.8913
Ag: 0.1110 0.7500 0.6739
Ag: 0.3890 0.2500 0.1739
Ag: 0.6110 0.7500 0.8261
Ag: 0.8890 0.2500 0.3261
Ir: 0.1913 0.2500 0.9494
Ir: 0.3087 0.7500 0.4494
Ir: 0.6913 0.2500 0.5506
Ir: 0.8087 0.7500 0.0506

Output
Energy relative to the elements, kJ/mol of formula units: -234
Space group: Pnma, No. 62
Excess energy over the best structure of this formula in the dataset, meV/atom: 0
Magnetic moment, Bohr magnetons per cell: 0.0

***

Q: What is the formula in the third record?
A: La3AgIr

***

Q: Which value of magnetic moment does entry 2 give?
A: 0.0 Bohr magnetons per cell

***

Q: Number 2 is which compound?
A: Mg2SbPd3